# InTcTe2

InTcTe2 after structural relaxation (GGA-PBE, Alexandria via LeMat-Bulk).

Output
As for the uncorrected formation energy: 0.57 eV per atom. The calculation puts the magnetization at 1.8 μB per cell.

Lattice parameters (Å, degrees): 5.203 5.203 3.418 90.00 90.00 90.00
Space group P4/mmm (No. 123)
Asymmetric unit:
In 0.000 0.000 0.000 [1 per cell]
Tc 0.500 0.500 0.000 [1 per cell]
Te 0.000 0.500 0.500 [2 per cell]

---

# KBe3In

KBe3In after structural relaxation (GGA-PBE, Alexandria via LeMat-Bulk).

Output
For the formation enthalpy at 0 K, the calculation gives 1.01 eV/atom. For the energy above the most stable polymorph in this dataset, the calculation gives 0 meV per atom. The calculation puts the magnetization at 0.0 μB per cell.

Lattice parameters (Å, degrees): 4.775 4.775 4.775 90.00 90.00 90.00
Space group Pm-3m (No. 221)
Asymmetric unit:
K 0.000 0.000 0.000 [1 per cell]
Be 0.000 0.500 0.500 [3 per cell]
In 0.500 0.500 0.500 [1 per cell]

---

# SmAs2Au

SmAs2Au after structural relaxation (GGA-PBE, Alexandria via LeMat-Bulk).

Output
For the formation enthalpy at 0 K, the calculation gives -0.76 eV/atom. The calculation puts the magnetization at 0.0 μB per cell.

Lattice parameters (Å, degrees): 20.552 4.086 4.106 90.00 90.00 90.00
Space group Pnma (No. 62)
Asymmetric unit:
Sm 0.117 0.250 0.229 [4 per cell]
As 0.002 0.250 0.705 [4 per cell]
As 0.156 0.750 0.731 [4 per cell]
Au 0.249 0.250 0.719 [4 per cell]

---

# TlFeCo3

TlFeCo3 after structural relaxation (GGA-PBE, Alexandria via LeMat-Bulk).

Output
For the formation enthalpy at 0 K, the calculation gives 1.01 eV/atom. For the energy above the most stable polymorph in this dataset, the calculation gives 0 meV per atom. The calculation puts the magnetization at 7.4 μB per cell.

Lattice parameters (Å, degrees): 4.359 4.359 4.359 90.00 90.00 90.00
Space group Pm-3m (No. 221)
Asymmetric unit:
Tl 0.000 0.000 0.000 [1 per cell]
Fe 0.500 0.500 0.500 [1 per cell]
Co 0.000 0.500 0.500 [3 per cell]

---

# LaNi2As2

LaNi2As2 after structural relaxation (GGA-PBE, Alexandria via LeMat-Bulk).

Output
For the formation enthalpy at 0 K, the calculation gives -0.88 eV/atom. The calculation puts the magnetization at 0.0 μB per cell.

Lattice parameters (Å, degrees): 4.263 4.263 9.518 90.00 90.00 90.00
Space group P4/nmm (No. 129, origin choice 2)
Asymmetric unit:
La 0.250 0.250 0.247 [2 per cell]
Ni 0.250 0.250 0.617 [2 per cell]
Ni 0.250 0.750 0.000 [2 per cell]
As 0.250 0.250 0.872 [2 per cell]
As 0.250 0.750 0.500 [2 per cell]

---

# AlAs3N

AlAs3N after structural relaxation (GGA-PBE, Alexandria via LeMat-Bulk).

Output
For the energy above the most stable polymorph in this dataset, the calculation gives 850 meV per atom. As for the uncorrected formation energy: 1.54 eV per atom. The calculation puts the magnetization at 2.7 μB per cell.

Lattice parameters (Å, degrees): 4.850 4.850 4.850 90.00 90.00 90.00
Space group Pm-3m (No. 221)
Asymmetric unit:
Al 0.000 0.000 0.000 [1 per cell]
As 0.000 0.000 0.500 [3 per cell]
N 0.500 0.500 0.500 [1 per cell]

---

# AsHS6

AsHS6 after structural relaxation (GGA-PBE, Alexandria via LeMat-Bulk).

Output
As for the uncorrected energy: -3.949 eV per atom. The calculation puts the magnetization at 0.0 μB per cell.

Lattice parameters (Å, degrees): 4.547 6.827 7.134 89.61 84.91 78.93
Space group P-1 (No. 2)
Asymmetric unit:
As 0.000 0.000 0.000 [1 per cell]
H 0.000 0.500 0.000 [1 per cell]
S 0.206 0.052 0.305 [2 per cell]
S 0.228 0.302 0.903 [2 per cell]
S 0.446 0.235 0.153 [2 per cell]

---

# LuZnPdAu

LuZnPdAu after structural relaxation (GGA-PBE, Alexandria via LeMat-Bulk).

Output
For the formation enthalpy at 0 K, the calculation gives -0.70 eV/atom. The calculation puts the magnetization at 0.0 μB per cell.

Lattice parameters (Å, degrees): 6.635 6.635 6.635 90.00 90.00 90.00
Space group F-43m (No. 216)
Asymmetric unit:
Lu 0.000 0.000 0.000 [4 per cell]
Zn 0.000 0.000 0.500 [4 per cell]
Pd 0.250 0.250 0.750 [4 per cell]
Au 0.250 0.250 0.250 [4 per cell]

---

# YSc2In

YSc2In after structural relaxation (GGA-PBE, Alexandria via LeMat-Bulk).

Output
For the formation enthalpy at 0 K, the calculation gives -0.21 eV/atom. The calculation puts the magnetization at 2.6 μB per cell.

Lattice parameters (Å, degrees): 4.594 4.594 9.532 90.00 90.00 90.00
Space group I4/mmm (No. 139)
Asymmetric unit:
Y 0.000 0.000 0.000 [2 per cell]
Sc 0.000 0.500 0.250 [4 per cell]
In 0.000 0.000 0.500 [2 per cell]

---

# CeLuAlCu

CeLuAlCu after structural relaxation (GGA-PBE, Alexandria via LeMat-Bulk).

Output
For the formation enthalpy at 0 K, the calculation gives -0.20 eV/atom. The calculation puts the magnetization at 1.6 μB per cell.

Lattice parameters (Å, degrees): 7.101 7.101 7.101 90.00 90.00 90.00
Space group F-43m (No. 216)
Asymmetric unit:
Ce 0.000 0.000 0.000 [4 per cell]
Lu 0.000 0.000 0.500 [4 per cell]
Al 0.250 0.250 0.250 [4 per cell]
Cu 0.250 0.250 0.750 [4 per cell]

---

- Which value of magnetization does entry 5 give?
  0.0 μB per cell

---

- Which value of magnetization does entry 8 give?
  0.0 μB per cell